Entry 1:
A relaxed structure of SrHg3, computed with PBEsol.

The crystal system is cubic.

It has space group Pm-3m (No. 221), with a = 4.7182 Å, b = 4.7182 Å, c = 4.7182 Å, α = 90.00°, β = 90.00° and γ = 90.00°. The distinct sites, in fractional coordinates, are Sr at (0.0000, 0.0000, 0.0000) and Hg at (0.0000, 0.5000, 0.5000).

Entry 2:
A relaxed structure of SrHg5, computed with PBEsol.

The calculation puts the polymorph energy (0 for the lowest one) at 0.0192 eV/atom. The crystal system is hexagonal.

It has space group P-62m (No. 189), with a = 5.7526 Å, b = 5.7526 Å, c = 5.1819 Å, α = 90.00°, β = 90.00° and γ = 120.00°. The distinct sites, in fractional coordinates, are Sr at (0.0000, 0.0000, 0.0000), Hg at (0.0000, 0.3585, 0.5000) and Hg at (0.3333, 0.6667, 0.0000).

Entry 3:
A relaxed structure of SrHg2, computed with PBEsol.

The crystal system is monoclinic.

It has space group C2/m (No. 12), with a = 10.5204 Å, b = 4.9207 Å, c = 6.3818 Å, α = 90.00°, β = 90.30° and γ = 90.00°. The distinct sites, in fractional coordinates, are Sr at (0.1901, 0.0000, 0.2483), Hg at (0.0000, 0.5000, 0.0000), Hg at (0.0000, 0.5000, 0.5000) and Hg at (0.1147, 0.0000, 0.7475).

Entry 4:
A relaxed structure of Sr8Hg, computed with PBEsol.

The crystal system is tetragonal.

It has space group I4/mmm (No. 139), with a = 13.6479 Å, b = 13.6479 Å, c = 4.4072 Å, α = 90.00°, β = 90.00° and γ = 90.00°. The distinct sites, in fractional coordinates, are Sr at (0.0000, 0.3349, 0.0000), Sr at (0.1453, 0.1453, 0.5000) and Hg at (0.0000, 0.0000, 0.0000).

Entry 5:
A relaxed structure of Sr5Hg, computed with PBEsol.

The crystal system is monoclinic.

It has space group C2/m (No. 12), with a = 14.0879 Å, b = 4.0974 Å, c = 9.9789 Å, α = 90.00°, β = 112.87° and γ = 90.00°. The distinct sites, in fractional coordinates, are Sr at (0.0000, 0.0000, 0.0000), Sr at (0.1275, 0.5000, 0.3719), Sr at (0.1694, 0.5000, 0.7835) and Hg at (0.0000, 0.0000, 0.5000).

Entry 6:
A relaxed structure of Sr2Hg3, computed with PBEsol.

The crystal system is trigonal.

It has space group R-3m (No. 166, hexagonal axes), with a = 4.9720 Å, b = 4.9720 Å, c = 21.3522 Å, α = 90.00°, β = 90.00° and γ = 120.00°. The distinct sites, in fractional coordinates, are Sr at (0.0000, 0.0000, 0.0880), Hg at (0.0000, 0.0000, 0.3338) and Hg at (0.0000, 0.0000, 0.5000).

DFT formation energy in eV/f.u., matching the order above: -1.69; -1.95; -1.48; -0.61; -1.02; -2.52
Total magnetic moment in μB per formula unit, matching the order above: 0.0; 0.0; 0.0; 0.0; 0.0; 0.0